Material: TaPW2
Method: DFT, PBEsol
State: relaxed

ΔE_f	148	meV per atom
density of states at the Fermi level	0.49	states/eV per atom
total magnetic moment	0.000	μB per atom

The structure in POSCAR format:
```
TaPW2
1.0
3.650 0.000 0.000
0.000 3.650 0.000
0.000 0.000 4.608
P W Ta
1 2 1
direct
0.500 0.500 0.500 P
0.000 0.500 0.000 W
0.500 0.000 0.000 W
0.000 0.000 0.500 Ta
```